Here is crystalline ZrCdW at its relaxed geometry from Alexandria via LeMat-Bulk. Energies are from PBEsol. Values from VASP.

## Properties
**Energy of formation**: 0.393 eV/atom
**Theoretical density**: 11.4 g cm⁻³
**Energy above the lowest structure with this stoichiometry**: 113.9 meV per atom

Quantum ESPRESSO input file:
```
&SYSTEM
  ibrav = 0, nat = 6, ntyp = 3
/
ATOMIC_SPECIES
Zr 91.22 Zr.upf
Cd 112.41 Cd.upf
W 183.84 W.upf
CELL_PARAMETERS angstrom
3.475 0.000 0.000
0.000 3.475 0.000
0.000 0.000 9.346
ATOMIC_POSITIONS crystal
Zr 0.000 0.000 0.000
Zr 0.500 0.500 0.500
Cd 0.000 0.000 0.317
Cd 0.500 0.500 0.817
W 0.000 0.000 0.652
W 0.500 0.500 0.152
```